(1)
Here is BaCaCu after structural relaxation from Alexandria via LeMat-Bulk. Energies are from PBE.

Cell and atoms, written as POSCAR:
```
BaCaCu
1.0
4.298 0.000 0.000
0.000 4.244 -0.369
0.000 -1.090 12.000
Ba Ca Cu
2 2 2
direct
0.250 0.680 0.358 Ba
0.750 0.320 0.642 Ba
0.750 0.062 0.123 Ca
0.250 0.938 0.877 Ca
0.250 0.528 0.057 Cu
0.750 0.472 0.943 Cu
```

## Properties
- total moment (μB/atom) = 0.000
- excess energy over the best structure of this formula in the dataset (eV/f.u.) = 0.00
- energy of formation (eV per formula unit) = -0.2

---

(2)
Here is BaCa3Cu after structural relaxation from Alexandria via LeMat-Bulk. Energies are from PBE.

Cell and atoms, written as POSCAR:
```
BaCa3Cu
1.0
5.829 0.000 0.000
0.000 5.829 0.000
0.000 0.000 5.829
Ca Cu Ba
3 1 1
direct
0.000 0.500 0.000 Ca
0.500 0.000 0.000 Ca
0.000 0.000 0.500 Ca
0.500 0.500 0.500 Cu
0.000 0.000 0.000 Ba
```

## Properties
- total moment (μB/atom) = 0.000
- excess energy over the best structure of this formula in the dataset (eV/f.u.) = 6.73
- energy of formation (eV per formula unit) = 6.6